(1)
VASP calculation (PBE) on Pm4ZnHg5 after structural relaxation.

Geometry as CIF:
```
data_Pm4ZnHg5
_cell_length_a 16.0886
_cell_length_b 5.2310
_cell_length_c 6.4545
_cell_angle_alpha 90.00
_cell_angle_beta 103.89
_cell_angle_gamma 90.00
_space_group_name_H-M_alt 'C 1 2/m 1'
_space_group_IT_number 12
loop_
_space_group_symop_operation_xyz
'x,y,z'
'-x,-y,-z'
'-x,y,-z'
'x,-y,z'
'x+1/2,y+1/2,z'
'-x+1/2,-y+1/2,-z'
'-x+1/2,y+1/2,-z'
'x+1/2,-y+1/2,z'
loop_
_atom_site_label
_atom_site_type_symbol
_atom_site_fract_x
_atom_site_fract_y
_atom_site_fract_z
_atom_site_occupancy
Pm1 Pm 0.0921 0.0000 0.3310 1
Pm2 Pm 0.1870 0.5000 0.8165 1
Zn1 Zn 0.0000 0.5000 0.5000 1
Hg1 Hg 0.0000 0.5000 0.0000 1
Hg2 Hg 0.1011 0.0000 0.8483 1
Hg3 Hg 0.2144 0.5000 0.3397 1
```

## Properties
The energy relative to the elements is -417.7 meV per atom. The size of the total moment is 0.00 μB per formula unit. The value obtained for the offset from the most stable computed form is 0 meV/atom. The density of states at the Fermi level is 9.083 states/eV/f.u.

---

(2)
VASP calculation (PBE) on Pm5ZnHg3 after structural relaxation.

Geometry as CIF:
```
data_Pm5ZnHg3
_cell_length_a 9.2312
_cell_length_b 9.2312
_cell_length_c 6.9291
_cell_angle_alpha 90.00
_cell_angle_beta 90.00
_cell_angle_gamma 120.00
_space_group_name_H-M_alt 'P 63/m c m'
_space_group_IT_number 193
_space_group_name_Hall '-P 6c 2'
loop_
_atom_site_label
_atom_site_type_symbol
_atom_site_fract_x
_atom_site_fract_y
_atom_site_fract_z
_atom_site_occupancy
Pm1 Pm 0.0000 0.2746 0.2500 1
Pm2 Pm 0.3333 0.6667 0.0000 1
Zn1 Zn 0.0000 0.0000 0.0000 1
Hg1 Hg 0.0000 0.3851 0.7500 1
```

## Properties
The energy relative to the elements is -341.8 meV per atom. The size of the total moment is 0.00 μB per formula unit. The density of states at the Fermi level is 11.226 states/eV/f.u.

---

(3)
VASP calculation (PBE) on Pm2Zn3Hg4 after structural relaxation.

Geometry as CIF:
```
data_Pm2Zn3Hg4
_cell_length_a 6.1708
_cell_length_b 15.9031
_cell_length_c 8.2449
_cell_angle_alpha 90.00
_cell_angle_beta 90.00
_cell_angle_gamma 90.00
_space_group_name_H-M_alt 'C m c e'
_space_group_IT_number 64
_space_group_name_Hall '-C 2ac 2'
loop_
_atom_site_label
_atom_site_type_symbol
_atom_site_fract_x
_atom_site_fract_y
_atom_site_fract_z
_atom_site_occupancy
Pm1 Pm 0.0000 0.1135 0.0911 1
Zn1 Zn 0.0000 0.0000 0.5000 1
Zn2 Zn 0.2500 0.2280 0.7500 1
Hg1 Hg 0.0000 0.1794 0.4744 1
Hg2 Hg 0.2500 0.0531 0.7500 1
```

## Properties
The energy relative to the elements is -256.4 meV per atom. The size of the total moment is 0.00 μB per formula unit. The density of states at the Fermi level is 7.372 states/eV/f.u.

---

(4)
VASP calculation (PBE) on PmZn4Hg after structural relaxation.

Geometry as CIF:
```
data_PmZn4Hg
_cell_length_a 7.7624
_cell_length_b 7.7624
_cell_length_c 7.7624
_cell_angle_alpha 90.00
_cell_angle_beta 90.00
_cell_angle_gamma 90.00
_space_group_name_H-M_alt 'F -4 3 m'
_space_group_IT_number 216
_space_group_name_Hall 'F -4 2 3'
loop_
_atom_site_label
_atom_site_type_symbol
_atom_site_fract_x
_atom_site_fract_y
_atom_site_fract_z
_atom_site_occupancy
Pm1 Pm 0.0000 0.0000 0.0000 1
Zn1 Zn 0.1258 0.1258 0.3742 1
Hg1 Hg 0.2500 0.2500 0.7500 1
```

## Properties
The energy relative to the elements is -130.2 meV per atom. The size of the total moment is 0.00 μB per formula unit. The density of states at the Fermi level is 4.907 states/eV/f.u.

---

(5)
VASP calculation (PBE) on PmZnHg6 after structural relaxation.

Geometry as CIF:
```
data_PmZnHg6
_cell_length_a 8.6352
_cell_length_b 8.6352
_cell_length_c 10.2467
_cell_angle_alpha 90.00
_cell_angle_beta 90.00
_cell_angle_gamma 120.00
_space_group_name_H-M_alt 'R -3 m'
_space_group_IT_number 166
_space_group_name_Hall '-R 3 2"'
loop_
_atom_site_label
_atom_site_type_symbol
_atom_site_fract_x
_atom_site_fract_y
_atom_site_fract_z
_atom_site_occupancy
Pm1 Pm 0.0000 0.0000 0.0000 1
Zn1 Zn 0.0000 0.0000 0.5000 1
Hg1 Hg 0.0876 0.5438 0.3682 1
```

## Properties
The energy relative to the elements is -62.3 meV per atom. The size of the total moment is 0.00 μB per formula unit. The density of states at the Fermi level is 4.077 states/eV/f.u.

---

(6)
VASP calculation (PBE) on PmZnHg2 after structural relaxation.

Geometry as CIF:
```
data_PmZnHg2
_cell_length_a 4.5840
_cell_length_b 17.3097
_cell_length_c 9.5643
_cell_angle_alpha 90.00
_cell_angle_beta 90.00
_cell_angle_gamma 90.00
_space_group_name_H-M_alt 'C m c m'
_space_group_IT_number 63
_space_group_name_Hall '-C 2c 2'
loop_
_atom_site_label
_atom_site_type_symbol
_atom_site_fract_x
_atom_site_fract_y
_atom_site_fract_z
_atom_site_occupancy
Pm1 Pm 0.0000 0.0000 0.0000 1
Pm2 Pm 0.0000 0.1995 0.2500 1
Zn1 Zn 0.0000 0.3563 0.5251 1
Hg1 Hg 0.0000 0.1931 0.5929 1
Hg2 Hg 0.0000 0.3986 0.2500 1
Hg3 Hg 0.0000 0.4414 0.7500 1
```

## Properties
The energy relative to the elements is -311.4 meV per atom. The size of the total moment is 0.00 μB per formula unit. The value obtained for the offset from the most stable computed form is 15 meV/atom. The density of states at the Fermi level is 2.601 states/eV/f.u.

---

(7)
VASP calculation (PBE) on Pm6ZnHg3 after structural relaxation.

Geometry as CIF:
```
data_Pm6ZnHg3
_cell_length_a 9.3065
_cell_length_b 5.3575
_cell_length_c 11.8503
_cell_angle_alpha 90.00
_cell_angle_beta 107.53
_cell_angle_gamma 90.00
_space_group_name_H-M_alt 'P 1 21/m 1'
_space_group_IT_number 11
loop_
_space_group_symop_operation_xyz
'x,y,z'
'-x,-y,-z'
'-x,y+1/2,-z'
'x,-y+1/2,z'
loop_
_atom_site_label
_atom_site_type_symbol
_atom_site_fract_x
_atom_site_fract_y
_atom_site_fract_z
_atom_site_occupancy
Pm1 Pm 0.0186 0.2500 0.4042 1
Pm2 Pm 0.1606 0.7500 0.1757 1
Pm3 Pm 0.2596 0.2500 0.0026 1
Pm4 Pm 0.3588 0.7500 0.8286 1
Pm5 Pm 0.3714 0.2500 0.3473 1
Pm6 Pm 0.3966 0.2500 0.6272 1
Zn1 Zn 0.4539 0.7500 0.1039 1
Hg1 Hg 0.0287 0.7500 0.8786 1
Hg2 Hg 0.1211 0.2500 0.7225 1
Hg3 Hg 0.2722 0.7500 0.4716 1
```

## Properties
The energy relative to the elements is -313.2 meV per atom. The size of the total moment is 0.00 μB per formula unit. The density of states at the Fermi level is 11.246 states/eV/f.u.

---

(8)
VASP calculation (PBE) on Pm4ZnHg2 after structural relaxation.

Geometry as CIF:
```
data_Pm4ZnHg2
_cell_length_a 5.2851
_cell_length_b 5.2851
_cell_length_c 25.5213
_cell_angle_alpha 90.00
_cell_angle_beta 90.00
_cell_angle_gamma 120.00
_space_group_name_H-M_alt 'R -3 m'
_space_group_IT_number 166
_space_group_name_Hall '-R 3 2"'
loop_
_atom_site_label
_atom_site_type_symbol
_atom_site_fract_x
_atom_site_fract_y
_atom_site_fract_z
_atom_site_occupancy
Pm1 Pm 0.0000 0.0000 0.1233 1
Pm2 Pm 0.0000 0.0000 0.3745 1
Zn1 Zn 0.0000 0.0000 0.5000 1
Hg1 Hg 0.0000 0.0000 0.2492 1
```

## Properties
The energy relative to the elements is -267.5 meV per atom. The size of the total moment is 1.25 μB per formula unit. The density of states at the Fermi level is 8.937 states/eV/f.u.

---

(9)
VASP calculation (PBE) on Pm2ZnHg4 after structural relaxation.

Geometry as CIF:
```
data_Pm2ZnHg4
_cell_length_a 6.2180
_cell_length_b 6.3639
_cell_length_c 9.0267
_cell_angle_alpha 90.00
_cell_angle_beta 102.16
_cell_angle_gamma 90.00
_space_group_name_H-M_alt 'P 1 21/m 1'
_space_group_IT_number 11
loop_
_space_group_symop_operation_xyz
'x,y,z'
'-x,-y,-z'
'-x,y+1/2,-z'
'x,-y+1/2,z'
loop_
_atom_site_label
_atom_site_type_symbol
_atom_site_fract_x
_atom_site_fract_y
_atom_site_fract_z
_atom_site_occupancy
Pm1 Pm 0.1311 0.2500 0.4146 1
Pm2 Pm 0.2821 0.7500 0.0219 1
Zn1 Zn 0.0908 0.2500 0.7872 1
Hg1 Hg 0.2277 0.2500 0.0908 1
Hg2 Hg 0.2946 0.7500 0.4075 1
Hg3 Hg 0.3838 0.5187 0.7109 1
```

## Properties
The energy relative to the elements is -316.1 meV per atom. The size of the total moment is 0.00 μB per formula unit. The value obtained for the offset from the most stable computed form is 0 meV/atom. The density of states at the Fermi level is 5.687 states/eV/f.u.

---

(10)
VASP calculation (PBE) on Pm3ZnHg4 after structural relaxation.

Geometry as CIF:
```
data_Pm3ZnHg4
_cell_length_a 15.8408
_cell_length_b 5.2170
_cell_length_c 5.2282
_cell_angle_alpha 90.00
_cell_angle_beta 109.21
_cell_angle_gamma 90.00
_space_group_name_H-M_alt 'C 1 2/m 1'
_space_group_IT_number 12
loop_
_space_group_symop_operation_xyz
'x,y,z'
'-x,-y,-z'
'-x,y,-z'
'x,-y,z'
'x+1/2,y+1/2,z'
'-x+1/2,-y+1/2,-z'
'-x+1/2,y+1/2,-z'
'x+1/2,-y+1/2,z'
loop_
_atom_site_label
_atom_site_type_symbol
_atom_site_fract_x
_atom_site_fract_y
_atom_site_fract_z
_atom_site_occupancy
Pm1 Pm 0.0000 0.0000 0.0000 1
Pm2 Pm 0.2321 0.5000 0.7322 1
Zn1 Zn 0.0000 0.5000 0.5000 1
Hg1 Hg 0.1175 0.0000 0.6173 1
Hg2 Hg 0.1182 0.5000 0.1187 1
```

## Properties
The energy relative to the elements is -411.5 meV per atom. The size of the total moment is 0.00 μB per formula unit. The value obtained for the offset from the most stable computed form is 0 meV/atom. The density of states at the Fermi level is 5.384 states/eV/f.u.

---

Question: Look up the energy relative to the elements of the sixth one.
Answer: -311.4 meV per atom

---

Copy entry 4 word for word.
VASP calculation (PBE) on PmZn4Hg after structural relaxation.

Geometry as CIF:
```
data_PmZn4Hg
_cell_length_a 7.7624
_cell_length_b 7.7624
_cell_length_c 7.7624
_cell_angle_alpha 90.00
_cell_angle_beta 90.00
_cell_angle_gamma 90.00
_space_group_name_H-M_alt 'F -4 3 m'
_space_group_IT_number 216
_space_group_name_Hall 'F -4 2 3'
loop_
_atom_site_label
_atom_site_type_symbol
_atom_site_fract_x
_atom_site_fract_y
_atom_site_fract_z
_atom_site_occupancy
Pm1 Pm 0.0000 0.0000 0.0000 1
Zn1 Zn 0.1258 0.1258 0.3742 1
Hg1 Hg 0.2500 0.2500 0.7500 1
```

## Properties
The energy relative to the elements is -130.2 meV per atom. The size of the total moment is 0.00 μB per formula unit. The density of states at the Fermi level is 4.907 states/eV/f.u.